## MgScPt2 (PBE)

Data for a relaxed structure of MgScPt2.

Values from the calculation:
space-group type = No. 65
DFT total energy = -24.2 eV/f.u.

a = 4.4556 Å, b = 4.4556 Å, c = 3.3892 Å
α = 90.00°, β = 90.00°, γ = 95.21°
With the nearest neighbours (Å) after each atom.
Atoms (fractional coordinates):
Mg  0.0000  0.0000  0.0000  8 Pt 2.80, 2 Sc 3.00
Sc  0.5000  0.5000  0.0000  8 Pt 2.80, 2 Mg 3.00
Pt  0.0000  0.5000  0.5000  4 Mg 2.80, 4 Sc 2.80, 2 Pt 3.00
Pt  0.5000  0.0000  0.5000  4 Mg 2.80, 4 Sc 2.80, 2 Pt 3.00

---

## ZnSO4 (PBE)

Data for a relaxed structure of ZnSO4.

Values from the calculation:
space-group type = No. 11
DFT total energy = -32.9 eV/f.u.

a = 4.5669 Å, b = 6.7266 Å, c = 4.7874 Å
α = 90.00°, β = 91.08°, γ = 90.00°
With the nearest neighbours (Å) after each atom.
Atoms (fractional coordinates):
Zn  0.0000  0.0000  0.0000  6 O 2.07-2.18
Zn  0.0000  0.5000  0.0000  6 O 2.07-2.18
S  0.4065  0.2500  0.8338  4 O 1.48-1.53
S  0.5935  0.7500  0.1662  4 O 1.48-1.53
O  0.2658  0.7500  0.1444  1 S 1.50
O  0.2695  0.2500  0.1240  1 S 1.53
O  0.3025  0.0648  0.6979  1 S 1.48
O  0.3025  0.4352  0.6979  1 S 1.48
O  0.6975  0.5648  0.3021  1 S 1.48
O  0.6975  0.9352  0.3021  1 S 1.48
O  0.7305  0.7500  0.8760  1 S 1.53
O  0.7342  0.2500  0.8556  1 S 1.50

---

## InPAuO (PBE)

Data for a relaxed structure of InPAuO.

Values from the calculation:
energy above the most stable polymorph in this dataset = 47 meV/atom
space-group type = No. 129

a = 4.0322 Å, b = 4.0322 Å, c = 8.7512 Å
α = 90.00°, β = 90.00°, γ = 90.00°
With the nearest neighbours (Å) after each atom.
Atoms (fractional coordinates):
In  0.2500  0.2500  0.1109  4 O 2.24
In  0.7500  0.7500  0.8891  4 O 2.24
P  0.2500  0.2500  0.6793  4 Au 2.55
P  0.7500  0.7500  0.3207  4 Au 2.55
Au  0.2500  0.7500  0.5000  4 P 2.55, 4 Au 2.85
Au  0.7500  0.2500  0.5000  4 P 2.55, 4 Au 2.85
O  0.2500  0.7500  0.0000  4 In 2.24
O  0.7500  0.2500  0.0000  4 In 2.24

---

## SmBeO3 (PBE)

Data for a relaxed structure of SmBeO3.

Values from the calculation:
space-group type = No. 62
DFT total energy = -35.7 eV/f.u.

a = 5.1053 Å, b = 7.1852 Å, c = 5.0554 Å
α = 90.00°, β = 90.00°, γ = 90.00°
With the nearest neighbours (Å) after each atom.
Atoms (fractional coordinates):
Sm  0.0007  0.2500  0.9997  12 O 2.51-2.56
Sm  0.4993  0.7500  0.4997  12 O 2.51-2.56
Sm  0.5007  0.2500  0.5003  12 O 2.51-2.56
Sm  0.9993  0.7500  0.0003  12 O 2.51-2.56
Be  0.0000  0.0000  0.5000  6 O 1.80
Be  0.0000  0.5000  0.5000  6 O 1.80
Be  0.5000  0.0000  0.0000  6 O 1.80
Be  0.5000  0.5000  0.0000  6 O 1.80
O  0.0004  0.2500  0.4957  2 Be 1.80
O  0.9996  0.7500  0.5043  2 Be 1.80
O  0.2493  0.5022  0.2492  2 Be 1.80
O  0.2493  0.9978  0.2492  2 Be 1.80
O  0.2507  0.0022  0.7492  2 Be 1.80
O  0.2507  0.4978  0.7492  2 Be 1.80
O  0.5004  0.2500  0.0043  2 Be 1.80
O  0.4996  0.7500  0.9957  2 Be 1.80
O  0.7493  0.5022  0.2508  2 Be 1.80
O  0.7493  0.9978  0.2508  2 Be 1.80
O  0.7507  0.0022  0.7508  2 Be 1.80
O  0.7507  0.4978  0.7508  2 Be 1.80